Below is an optimized crystal structure of FeAgSe2, with properties calculated at the GGA-PBE level.

Output
The calculation puts the calculated total energy at -0.15839 hartree per atom. The total magnetic moment comes out at 0.849 μB per atom. As for the density of states at the Fermi level: 3.5 states/eV per cell. Its space group is C2/m (12).

Cell: 7.652 5.774 2.837 Å, 66.48 103.38 136.02°
Sites, in units of the cell vectors:
Ag  0.000  0.500  0.500
Fe  0.500  0.500  0.000
Se  0.000  0.000  0.000
Se  0.500  0.000  0.500